Record 1
VASP calculation (PBE) on a relaxed structure of Ag4Sn2Au.

```
data_Ag4Sn2Au
_symmetry_space_group_name_H-M 'I -4 2 d'
_symmetry_Int_Tables_number 122
_symmetry_space_group_name_Hall 'I -4 2bw'
_cell_length_a 8.286
_cell_length_b 8.286
_cell_length_c 8.604
_cell_angle_alpha 90.00
_cell_angle_beta 90.00
_cell_angle_gamma 90.00
loop_
_atom_site_label
_atom_site_type_symbol
_atom_site_fract_x
_atom_site_fract_y
_atom_site_fract_z
_atom_site_occupancy
Ag1 Ag 0.082 0.669 0.467 1
Sn1 Sn 0.120 0.750 0.125 1
Au1 Au 0.000 0.000 0.500 1
```

Output
size of the total moment	0.00	μB per cell
electronic total energy	-3.1501	eV/atom



Record 2
VASP calculation (PBE) on a relaxed structure of Ag6SnAu3.

```
data_Ag6SnAu3
_symmetry_space_group_name_H-M 'P 1 21/m 1'
_symmetry_Int_Tables_number 11
_cell_length_a 9.466
_cell_length_b 4.145
_cell_length_c 9.481
_cell_angle_alpha 90.00
_cell_angle_beta 90.35
_cell_angle_gamma 90.00
loop_
_symmetry_equiv_pos_as_xyz
'x,y,z'
'-x,-y,-z'
'-x,y+1/2,-z'
'x,-y+1/2,z'
loop_
_atom_site_label
_atom_site_type_symbol
_atom_site_fract_x
_atom_site_fract_y
_atom_site_fract_z
_atom_site_occupancy
Ag1 Ag 0.002 0.250 0.259 1
Ag2 Ag 0.202 0.250 0.641 1
Ag3 Ag 0.204 0.750 0.153 1
Ag4 Ag 0.309 0.750 0.841 1
Ag5 Ag 0.401 0.750 0.547 1
Ag6 Ag 0.404 0.250 0.050 1
Sn1 Sn 0.113 0.250 0.938 1
Au1 Au 0.103 0.750 0.450 1
Au2 Au 0.303 0.250 0.350 1
Au3 Au 0.498 0.750 0.252 1
```

Output
size of the total moment	0.00	μB per cell
energy above the lowest structure with this stoichiometry	0.000	eV/atom



Record 3
VASP calculation (PBE) on a relaxed structure of Ag2SnAu9.

```
data_Ag2SnAu9
_symmetry_space_group_name_H-M 'P 4/m m m'
_symmetry_Int_Tables_number 123
_symmetry_space_group_name_Hall '-P 4 2'
_cell_length_a 4.244
_cell_length_b 4.244
_cell_length_c 12.319
_cell_angle_alpha 90.00
_cell_angle_beta 90.00
_cell_angle_gamma 90.00
loop_
_atom_site_label
_atom_site_type_symbol
_atom_site_fract_x
_atom_site_fract_y
_atom_site_fract_z
_atom_site_occupancy
Ag1 Ag 0.000 0.000 0.162 1
Sn1 Sn 0.000 0.000 0.500 1
Au1 Au 0.000 0.500 0.000 1
Au2 Au 0.000 0.500 0.326 1
Au3 Au 0.500 0.500 0.162 1
Au4 Au 0.500 0.500 0.500 1
```

Output
size of the total moment	0.00	μB per cell
electronic total energy	-3.2965	eV/atom